Record 1
Compound: Ac3Sc2Tl4
Source: the Alexandria database
Functional: GGA-PBE
Structure: optimized geometry

```
Ac3Sc2Tl4
1.0
6.4375 -2.5079 0.0000
6.4375 2.5079 0.0000
-4.3107 0.0000 9.0654
Ac Sc Tl
3 2 4
direct
0.0000 0.0000 0.0000
0.3673 0.3673 0.3122
0.6327 0.6327 0.6878
0.3364 0.3364 0.6632
0.6636 0.6636 0.3368
0.0863 0.0863 0.4068
0.3005 0.3005 0.9454
0.6995 0.6995 0.0546
0.9137 0.9137 0.5933
```

Output
Energy of formation = -285 meV per atom
Space-group type = No. 12

***

Record 2
Compound: Ta2SnPd
Source: the Alexandria database
Functional: GGA-PBE
Structure: optimized geometry

```
Ta2SnPd
1.0
-3.0432 3.0432 6.0034
3.0432 -3.0432 6.0034
3.0432 3.0432 -6.0034
Ta Sn Pd
4 2 2
direct
0.0848 0.6250 0.9598
0.3750 0.3348 0.4598
0.6652 0.1250 0.0402
0.8750 0.9152 0.5402
0.2500 0.7500 0.5000
0.5000 0.5000 0.0000
0.0000 0.0000 0.0000
0.7500 0.2500 0.5000
```

Output
Energy of formation = 1312 meV per atom
Space-group type = No. 122

***

Record 3
Compound: MgZnPt2
Source: the Alexandria database
Functional: GGA-PBE
Structure: optimized geometry

```
MgZnPt2
1.0
-1.9855 1.9855 8.7705
1.9855 -1.9855 8.7705
1.9855 1.9855 -8.7705
Mg Zn Pt
2 2 4
direct
0.0000 0.0000 0.0000
0.7500 0.2500 0.5000
0.2500 0.7500 0.5000
0.5000 0.5000 0.0000
0.1358 0.6250 0.0108
0.3750 0.3858 0.5108
0.6142 0.1250 0.9892
0.8750 0.8642 0.4892
```

Output
Energy of formation = -288 meV per atom
Space-group type = No. 122

***

Record 4
Compound: CeHfAu2
Source: the Alexandria database
Functional: GGA-PBE
Structure: optimized geometry

```
CeHfAu2
1.0
3.4041 0.0000 0.0000
0.0000 3.4041 0.0000
0.0000 0.0000 7.6350
Ce Hf Au
1 1 2
direct
0.0000 0.0000 0.0000
0.0000 0.0000 0.5000
0.5000 0.5000 0.2896
0.5000 0.5000 0.7104
```

Output
Polymorph energy (0 for the lowest one) = 0.000 eV per atom
Energy of formation = -509 meV per atom
Space-group type = No. 123

***

Record 5
Compound: Ce4Bi2H9
Source: the Alexandria database
Functional: GGA-PBE
Structure: optimized geometry

```
Ce4Bi2H9
1.0
3.8663 0.0000 0.0000
-1.9332 3.3483 0.0000
0.0000 0.0000 16.3774
Ce Bi H
4 2 9
direct
0.3333 0.6667 0.1009
0.3333 0.6667 0.4043
0.6667 0.3333 0.5957
0.6667 0.3333 0.8991
0.3333 0.6667 0.7504
0.6667 0.3333 0.2496
0.0000 0.0000 0.0969
0.0000 0.0000 0.3703
0.0000 0.0000 0.5000
0.0000 0.0000 0.6297
0.0000 0.0000 0.9031
0.3333 0.6667 0.5499
0.3333 0.6667 0.9555
0.6667 0.3333 0.0445
0.6667 0.3333 0.4501
```

Output
Raw total energy = -4.6221 eV per atom
Space-group type = No. 164

***

Record 6
Compound: YSbSe2
Source: the Alexandria database
Functional: GGA-PBE
Structure: optimized geometry

```
YSbSe2
1.0
3.8918 0.0000 0.0000
0.0000 3.9471 0.0000
-1.8613 0.0000 8.3314
Y Sb Se
1 1 2
direct
0.0000 0.0000 0.0000
0.1648 0.5000 0.3453
0.4452 0.5000 0.8853
0.6303 0.0000 0.2717
```

Output
Raw total energy = -5.4082 eV per atom
Space-group type = No. 6

***

Record 7
Compound: Cs2InHg
Source: the Alexandria database
Functional: GGA-PBE
Structure: optimized geometry

```
Cs2InHg
1.0
6.3500 -3.6355 0.0000
6.3500 3.6355 0.0000
-2.0728 0.0000 4.7431
Cs In Hg
2 1 1
direct
0.1856 0.1856 0.1871
0.8144 0.8144 0.8129
0.5030 0.4970 0.0000
0.3343 0.6657 0.5000
```

Output
Energy of formation = -106 meV per atom
Space-group type = No. 5

***

Record 8
Compound: BaAl2Sb
Source: the Alexandria database
Functional: GGA-PBE
Structure: optimized geometry

```
BaAl2Sb
1.0
-4.2996 4.2996 3.3899
4.2996 -4.2996 3.3899
4.2996 4.2996 -3.3899
Ba Al Sb
2 4 2
direct
0.0000 0.0000 0.0000
0.7500 0.2500 0.5000
0.1811 0.6250 0.0561
0.3750 0.4311 0.5561
0.5689 0.1250 0.9439
0.8750 0.8189 0.4439
0.2500 0.7500 0.5000
0.5000 0.5000 0.0000
```

Output
Raw total energy = -3.4827 eV per atom
Space-group type = No. 122

***

Record 9
Compound: Th4Tc2Pd
Source: the Alexandria database
Functional: GGA-PBE
Structure: optimized geometry

```
Th4Tc2Pd
1.0
4.3375 -6.9367 0.0000
4.3375 6.9367 0.0000
-4.3226 0.0000 5.8938
Th Tc Pd
8 4 2
direct
0.0195 0.9805 0.5000
0.1274 0.6662 0.8006
0.4100 0.5348 0.1276
0.4948 0.9232 0.6415
0.5348 0.4100 0.6276
0.6662 0.1274 0.3006
0.9232 0.4948 0.1415
0.9805 0.0195 0.0000
0.2399 0.9136 0.2589
0.5878 0.7743 0.9524
0.7743 0.5878 0.4524
0.9136 0.2399 0.7589
0.1769 0.4216 0.4547
0.4216 0.1769 0.9547
```

Output
Energy of formation = -295 meV per atom
Space-group type = No. 9

***

Record 10
Compound: ZrTlRuRh
Source: the Alexandria database
Functional: GGA-PBE
Structure: optimized geometry

```
ZrTlRuRh
1.0
0.0000 3.2757 3.2757
3.2757 0.0000 3.2757
3.2757 3.2757 0.0000
Zr Tl Ru Rh
1 1 1 1
direct
0.0000 0.0000 0.0000
0.5000 0.5000 0.5000
0.2500 0.2500 0.2500
0.7500 0.7500 0.7500
```

Output
Energy of formation = -337 meV per atom
Space-group type = No. 216

***

Record 11
Compound: HRuS3
Source: the Alexandria database
Functional: GGA-PBE
Structure: optimized geometry

```
HRuS3
1.0
3.9476 0.0000 0.0000
0.0000 3.9476 0.0000
0.0000 0.0000 3.9476
H Ru S
1 1 3
direct
0.0000 0.0000 0.0000
0.5000 0.5000 0.5000
0.0000 0.0000 0.5000
0.0000 0.5000 0.0000
0.5000 0.0000 0.0000
```

Output
Polymorph energy (0 for the lowest one) = 0.167 eV per atom
Space-group type = No. 221

***

Record 12
Compound: CdGe3N
Source: the Alexandria database
Functional: GGA-PBE
Structure: optimized geometry

```
CdGe3N
1.0
5.0686 0.0000 0.0000
0.0000 5.0686 0.0000
0.0000 0.0000 5.0686
Cd Ge N
1 3 1
direct
0.0000 0.0000 0.0000
0.0000 0.0000 0.5000
0.0000 0.5000 0.0000
0.5000 0.0000 0.0000
0.5000 0.5000 0.5000
```

Output
Polymorph energy (0 for the lowest one) = 1.312 eV per atom
Space-group type = No. 221

***

Record 13
Compound: PmCuSi
Source: the Alexandria database
Functional: GGA-PBE
Structure: optimized geometry

```
PmCuSi
1.0
-2.0126 2.0126 4.0135
2.0126 -2.0126 4.0135
2.0126 2.0126 -4.0135
Pm Cu Si
1 1 1
direct
0.0000 0.0000 0.0000
0.3501 0.3501 0.0000
0.6409 0.6409 0.0000
```

Output
Polymorph energy (0 for the lowest one) = 0.597 eV per atom
Space-group type = No. 107

***

Record 14
Compound: BaSr12Hg6
Source: the Alexandria database
Functional: GGA-PBE
Structure: optimized geometry

```
BaSr12Hg6
1.0
7.8271 4.5190 3.9806
-7.8271 4.5190 3.9806
0.0000 -9.0380 3.9806
Ba Sr Hg
1 12 6
direct
0.0000 0.0000 0.0000
0.1261 0.5000 0.8739
0.1261 0.8739 0.5000
0.1774 0.4428 0.4428
0.4428 0.1774 0.4428
0.4428 0.4428 0.1774
0.5000 0.1261 0.8739
0.5000 0.8739 0.1261
0.5572 0.5572 0.8226
0.5572 0.8226 0.5572
0.8226 0.5572 0.5572
0.8739 0.1261 0.5000
0.8739 0.5000 0.1261
0.2491 0.2491 0.6827
0.2491 0.6827 0.2491
0.3173 0.7509 0.7509
0.6827 0.2491 0.2491
0.7509 0.3173 0.7509
0.7509 0.7509 0.3173
```

Output
Polymorph energy (0 for the lowest one) = 0.009 eV per atom
Energy of formation = -280 meV per atom
Space-group type = No. 166

***

Record 15
Compound: SmPuGe
Source: the Alexandria database
Functional: GGA-PBE
Structure: optimized geometry

```
SmPuGe
1.0
0.0000 3.5227 3.5227
3.5227 0.0000 3.5227
3.5227 3.5227 0.0000
Sm Pu Ge
1 1 1
direct
0.0000 0.0000 0.0000
0.5000 0.5000 0.5000
0.2500 0.2500 0.2500
```

Output
Polymorph energy (0 for the lowest one) = 0.000 eV per atom
Energy of formation = -263 meV per atom
Space-group type = No. 216

***

Record 16
Compound: ZrTc2Rh
Source: the Alexandria database
Functional: GGA-PBE
Structure: optimized geometry

```
ZrTc2Rh
1.0
2.7630 0.0000 0.0000
0.0000 2.7630 0.0000
0.0000 0.0000 8.4659
Zr Tc Rh
1 2 1
direct
0.0000 0.0000 0.0000
0.5000 0.5000 0.2752
0.5000 0.5000 0.7248
0.0000 0.0000 0.5000
```

Output
Polymorph energy (0 for the lowest one) = 0.218 eV per atom
Energy of formation = 54 meV per atom
Space-group type = No. 123

***

Record 17
Compound: Mg2InPd5
Source: the Alexandria database
Functional: GGA-PBE
Structure: optimized geometry

```
Mg2InPd5
1.0
5.6022 0.0000 0.0000
0.0000 11.0348 0.0000
0.0000 0.0000 4.2062
Mg In Pd
4 2 10
direct
0.1848 0.1393 0.0000
0.3152 0.6393 0.0000
0.6848 0.3607 0.0000
0.8152 0.8607 0.0000
0.0000 0.5000 0.5000
0.5000 0.0000 0.5000
0.0000 0.0000 0.5000
0.0653 0.7465 0.5000
0.2045 0.3847 0.0000
0.2955 0.8847 0.0000
0.4347 0.2465 0.5000
0.5000 0.5000 0.5000
0.5653 0.7535 0.5000
0.7045 0.1153 0.0000
0.7955 0.6153 0.0000
0.9347 0.2535 0.5000
```

Output
Energy of formation = -645 meV per atom
Space-group type = No. 55

***

Record 18
Compound: Ca2BPtC
Source: the Alexandria database
Functional: GGA-PBE
Structure: optimized geometry

```
Ca2BPtC
1.0
5.1478 0.0000 0.0000
0.0000 5.1478 0.0000
0.0000 0.0000 3.9110
Ca B Pt C
2 1 1 1
direct
0.0000 0.5000 0.0000
0.5000 0.0000 0.0000
0.0000 0.0000 0.0000
0.0000 0.0000 0.5000
0.5000 0.5000 0.5000
```

Output
Energy of formation = 544 meV per atom
Space-group type = No. 123

***

Record 19
Compound: Y2SiO
Source: the Alexandria database
Functional: GGA-PBE
Structure: optimized geometry

```
Y2SiO
1.0
-3.3514 3.3514 3.7655
3.3514 -3.3514 3.7655
3.3514 3.3514 -3.7655
Y Si O
4 2 2
direct
0.0526 0.6250 0.9276
0.3750 0.3026 0.4276
0.6974 0.1250 0.0724
0.8750 0.9474 0.5724
0.2500 0.7500 0.5000
0.5000 0.5000 0.0000
0.0000 0.0000 0.0000
0.7500 0.2500 0.5000
```

Output
Polymorph energy (0 for the lowest one) = 0.056 eV per atom
Space-group type = No. 122

***

Record 20
Compound: Nd8Sm6Sc
Source: the Alexandria database
Functional: GGA-PBE
Structure: optimized geometry

```
Nd8Sm6Sc
1.0
4.9741 2.8718 5.9603
-4.9741 2.8718 5.9603
0.0000 -5.7436 5.9603
Nd Sm Sc
8 6 1
direct
0.0887 0.0887 0.0887
0.1498 0.5675 0.2721
0.2721 0.1498 0.5675
0.4325 0.7279 0.8502
0.5675 0.2721 0.1498
0.7279 0.8502 0.4325
0.8502 0.4325 0.7279
0.9113 0.9113 0.9113
0.1186 0.7823 0.5743
0.2177 0.4257 0.8814
0.4257 0.8814 0.2177
0.5743 0.1186 0.7823
0.7823 0.5743 0.1186
0.8814 0.2177 0.4257
0.5000 0.5000 0.5000
```

Output
Polymorph energy (0 for the lowest one) = 0.051 eV per atom
Energy of formation = 165 meV per atom
Space-group type = No. 148

***

Looking at DOS(E_F) for the records above, in order, we have 7.09 5.10 1.57 8.20 20.54 0.08 3.91 2.03 5.36 0.92 3.55 3.37 1.66 21.60 7.99 5.97 1.77 2.49 0.00 22.74 states/eV/f.u..
Looking at volume for the records above, in order, we have 32.524 27.798 17.288 22.118 14.135 31.995 54.749 31.334 25.333 17.574 12.303 26.044 21.675 44.462 29.144 16.158 16.251 20.728 21.147 34.056 Å³/atom.